# NdBeAlPt2

NdBeAlPt2 after structural relaxation (PBE-GGA, the Alexandria database).

abc: 3.9841 3.9841 11.4453
angles: 90.00 90.00 90.00
Last column: nearest neighbours and their distance in Å.
Space group I-4m2 (No. 119)
Asymmetric unit:
Nd 0.0000 0.0000 0.0000 [2 per cell]  8 Pt 3.15, 4 Be 3.49, 4 Al 3.49
Be 0.0000 0.5000 0.7500 [2 per cell]  4 Pt 2.47
Al 0.0000 0.5000 0.2500 [2 per cell]  4 Pt 2.47
Pt 0.0000 0.0000 0.3770 [4 per cell]  2 Be 2.47, 2 Al 2.47

Values from the calculation:
- Calculated volume: 181.7 Å³/cell
- Energy relative to the elements: -0.9266 eV per atom
- DOS(E_F): 0.56 states/eV per atom
- Size of the total moment: 0.00 μB/f.u.



# SrBI3

SrBI3 after structural relaxation (PBE-GGA, the Alexandria database).

abc: 5.3780 5.3780 5.3780
angles: 90.00 90.00 90.00
Last column: nearest neighbours and their distance in Å.
Space group Pm-3m (No. 221)
Asymmetric unit:
Sr 0.0000 0.0000 0.0000 [1 per cell]  12 I 3.80
B 0.5000 0.5000 0.5000 [1 per cell]  6 I 2.69
I 0.0000 0.5000 0.5000 [3 per cell]  2 B 2.69

Values from the calculation:
- Formation energy from raw total energies: -0.1962 eV/atom
- Calculated volume: 155.5 Å³/cell
- DOS(E_F): 0.00 states/eV per atom
- Relative energy among the computed polymorphs: 0.00 eV per formula unit
- Size of the total moment: 0.00 μB/f.u.



# AcNdHoSc

AcNdHoSc after structural relaxation (PBE-GGA, the Alexandria database).

abc: 8.1310 8.1310 8.1310
angles: 90.00 90.00 90.00
Last column: nearest neighbours and their distance in Å.
Space group F-43m (No. 216)
Asymmetric unit:
Ac 0.0000 0.0000 0.0000 [4 per cell]  4 Sc 3.52, 4 Ho 3.52
Nd 0.0000 0.0000 0.5000 [4 per cell]  4 Ho 3.52, 4 Sc 3.52
Ho 0.2500 0.2500 0.7500 [4 per cell]  4 Ac 3.52, 4 Nd 3.52
Sc 0.2500 0.2500 0.2500 [4 per cell]  4 Ac 3.52, 4 Nd 3.52

Values from the calculation:
- Calculated volume: 537.6 Å³/cell
- Energy relative to the elements: 0.1098 eV per atom
- DOS(E_F): 1.60 states/eV per atom
- Size of the total moment: 0.00 μB/f.u.



# K2ZrMn

K2ZrMn after structural relaxation (PBE-GGA, the Alexandria database).

abc: 6.3039 13.1374 3.2396
angles: 90.00 119.02 90.00
Last column: nearest neighbours and their distance in Å.
Space group C2/m (No. 12)
Asymmetric unit:
K 0.2500 0.2500 0.0000 [4 per cell]  6 K 3.15-3.24
Zr 0.0000 0.0000 0.5000 [2 per cell]  4 Mn 3.15-3.24, 2 Zr 3.24
Mn 0.0000 0.5000 0.5000 [2 per cell]  4 Zr 3.15-3.24, 2 Mn 3.24

Values from the calculation:
- Calculated volume: 234.6 Å³/cell
- Energy relative to the elements: 1.0166 eV per atom
- DOS(E_F): 1.11 states/eV per atom
- Relative energy among the computed polymorphs: 1.81 eV per formula unit
- Size of the total moment: 2.62 μB/f.u.



# Ti3NiPd

Ti3NiPd after structural relaxation (PBE-GGA, the Alexandria database).

abc: 4.4895 4.4895 4.4895
angles: 90.00 90.00 90.00
Last column: nearest neighbours and their distance in Å.
Space group Pm-3m (No. 221)
Asymmetric unit:
Ti 0.0000 0.0000 0.5000 [3 per cell]  2 Ni 2.24
Ni 0.0000 0.0000 0.0000 [1 per cell]  6 Ti 2.24
Pd 0.5000 0.5000 0.5000 [1 per cell]  12 Ti 3.17

Values from the calculation:
- Calculated volume: 90.5 Å³/cell
- Energy relative to the elements: 0.2665 eV per atom
- DOS(E_F): 1.97 states/eV per atom
- Relative energy among the computed polymorphs: 2.56 eV per formula unit
- Size of the total moment: 0.00 μB/f.u.



# SrMnTlCl6

SrMnTlCl6 after structural relaxation (PBE-GGA, the Alexandria database).

abc: 7.0606 7.0606 13.0901
angles: 90.00 90.00 120.00
Last column: nearest neighbours and their distance in Å.
Space group P-31c (No. 163)
Asymmetric unit:
Sr 0.3333 0.6667 0.2500 [2 per cell]  6 Cl 2.91
Mn 0.3333 0.6667 0.7500 [2 per cell]  6 Cl 2.41
Tl 0.0000 0.0000 0.0000 [2 per cell]  6 Cl 3.20
Cl 0.0530 0.3931 0.6420 [12 per cell]  1 Mn 2.41

Values from the calculation:
- Formation energy from raw total energies: -1.4605 eV/atom
- Calculated volume: 565.1 Å³/cell
- DOS(E_F): 0.63 states/eV per atom
- Size of the total moment: 4.00 μB/f.u.



# Tb2PrNdP4

Tb2PrNdP4 after structural relaxation (PBE-GGA, the Alexandria database).

abc: 5.8100 5.8100 11.6326
angles: 90.00 90.00 90.00
Last column: nearest neighbours and their distance in Å.
Space group I4/mmm (No. 139)
Asymmetric unit:
Tb 0.0000 0.5000 0.2500 [4 per cell]  6 P 2.91
Pr 0.0000 0.0000 0.0000 [2 per cell]  6 P 2.91-2.92
Nd 0.0000 0.0000 0.5000 [2 per cell]  6 P 2.90-2.91
P 0.0000 0.0000 0.2508 [4 per cell]  1 Nd 2.90, 4 Tb 2.91, 1 Pr 2.92
P 0.0000 0.5000 0.0000 [4 per cell]  2 Pr 2.91, 2 Nd 2.91, 2 Tb 2.91

Values from the calculation:
- Calculated volume: 392.7 Å³/cell
- Energy relative to the elements: -1.5523 eV per atom
- DOS(E_F): 0.13 states/eV per atom
- Size of the total moment: 0.00 μB/f.u.



# GaCu2Bi2

GaCu2Bi2 after structural relaxation (PBE-GGA, the Alexandria database).

abc: 6.9329 6.9329 4.3742
angles: 90.00 90.00 90.00
Last column: nearest neighbours and their distance in Å.
Space group P4/mbm (No. 127)
Asymmetric unit:
Ga 0.0000 0.0000 0.0000 [2 per cell]  4 Cu 2.72
Cu 0.1287 0.3713 0.0000 [4 per cell]  1 Cu 2.52, 2 Ga 2.72
Bi 0.1758 0.6758 0.5000 [4 per cell]  6 Cu 2.91-3.06

Values from the calculation:
- Calculated volume: 210.2 Å³/cell
- Energy relative to the elements: 0.1786 eV per atom
- DOS(E_F): 0.51 states/eV per atom
- Relative energy among the computed polymorphs: 0.21 eV per formula unit
- Size of the total moment: 0.00 μB/f.u.



# K5SnAs3

K5SnAs3 after structural relaxation (PBE-GGA, the Alexandria database).

abc: 10.8848 11.5621 12.6703
angles: 90.00 102.93 90.00
Last column: nearest neighbours and their distance in Å.
Space group C2/m (No. 12)
Asymmetric unit:
K 0.0000 0.2300 0.0000 [4 per cell]  3 As 3.12-3.34
K 0.0457 0.2266 0.3218 [8 per cell]  3 As 3.40-3.57, 1 Sn 3.54
K 0.2024 0.5000 0.5256 [4 per cell]  1 As 3.33, 1 Sn 3.52
K 0.2504 0.0000 0.0900 [4 per cell]  4 As 3.17-3.54
Sn 0.1785 0.0000 0.7106 [4 per cell]  2 As 2.60-2.64
As 0.0000 0.0000 0.5000 [2 per cell]  2 Sn 2.93
As 0.0000 0.5000 0.0000 [2 per cell]  2 As 2.73
As 0.0365 0.0000 0.8508 [4 per cell]  1 Sn 2.60
As 0.0738 0.5000 0.2205 [4 per cell]  1 Sn 2.64, 1 As 2.73

Values from the calculation:
- Calculated volume: 1554.1 Å³/cell
- Energy relative to the elements: -0.2088 eV per atom
- DOS(E_F): 0.33 states/eV per atom
- Relative energy among the computed polymorphs: 2.14 eV per formula unit
- Size of the total moment: 0.00 μB/f.u.



# Pm19Y4Ho6

Pm19Y4Ho6 after structural relaxation (PBE-GGA, the Alexandria database).

abc: 12.6488 12.6488 12.6488
angles: 90.00 90.00 90.00
Last column: nearest neighbours and their distance in Å.
Space group I23 (No. 197)
Asymmetric unit:
Pm 0.0000 0.0000 0.0000 [2 per cell]  6 Pm 3.30
Pm 0.0000 0.0000 0.2606 [12 per cell]  5 Pm 3.30-3.64, 2 Y 3.38, 2 Ho 3.42
Pm 0.0621 0.2807 0.7384 [24 per cell]  1 Ho 3.22, 2 Y 3.38-3.47, 1 Pm 3.41
Y 0.1801 0.1801 0.1801 [8 per cell]  9 Pm 3.38-3.47
Ho 0.0000 0.1251 0.5000 [12 per cell]  1 Ho 3.17, 4 Pm 3.22-3.42

Values from the calculation:
- Calculated volume: 2023.7 Å³/cell
- Energy relative to the elements: 0.3747 eV per atom
- DOS(E_F): 1.49 states/eV per atom
- Size of the total moment: 0.00 μB/f.u.



# ScTiCu

ScTiCu after structural relaxation (PBE-GGA, the Alexandria database).

abc: 4.7345 3.0618 7.3572
angles: 90.00 99.83 90.00
Last column: nearest neighbours and their distance in Å.
Space group Pm (No. 6)
Asymmetric unit:
Sc 0.0000 0.0000 0.0000 [1 per cell]  2 Cu 2.83, 6 Ti 2.94-3.03, 4 Sc 3.06-3.11
Sc 0.4220 0.0000 0.7258 [1 per cell]  5 Cu 2.74-2.86, 2 Sc 3.06
Ti 0.1177 0.5000 0.3607 [1 per cell]  5 Cu 2.66-2.94, 1 Ti 2.88
Ti 0.5317 0.5000 0.1160 [1 per cell]  2 Cu 2.64, 1 Ti 2.88, 4 Sc 2.94-2.95
Cu 0.6564 0.0000 0.4105 [1 per cell]  2 Cu 2.58, 4 Ti 2.64-2.74, 1 Sc 2.74
Cu 0.9032 0.5000 0.6720 [1 per cell]  2 Cu 2.58, 1 Ti 2.66, 6 Sc 2.83-2.86

Values from the calculation:
- Calculated volume: 105.1 Å³/cell
- Energy relative to the elements: -0.0074 eV per atom
- DOS(E_F): 0.95 states/eV per atom
- Relative energy among the computed polymorphs: 0.23 eV per formula unit
- Size of the total moment: 0.16 μB/f.u.



# DyMgAg6

DyMgAg6 after structural relaxation (PBE-GGA, the Alexandria database).

abc: 9.6239 4.1557 8.5921
angles: 90.00 116.32 90.00
Last column: nearest neighbours and their distance in Å.
Space group C2/m (No. 12)
Asymmetric unit:
Dy 0.0000 0.0000 0.0000 [2 per cell]  12 Ag 3.02-3.09
Mg 0.0000 0.0000 0.5000 [2 per cell]  12 Ag 2.92-3.01
Ag 0.0013 0.5000 0.7388 [4 per cell]  2 Mg 2.92, 8 Ag 2.95-3.18, 2 Dy 3.06
Ag 0.2457 0.0000 0.8668 [4 per cell]  8 Ag 2.96-3.18, 1 Mg 2.99, 3 Dy 3.02-3.05
Ag 0.2488 0.5000 0.6192 [4 per cell]  8 Ag 2.93-3.01, 3 Mg 2.99-3.01, 1 Dy 3.09

Values from the calculation:
- Calculated volume: 308.0 Å³/cell
- Energy relative to the elements: -0.1795 eV per atom
- DOS(E_F): 0.33 states/eV per atom
- Relative energy among the computed polymorphs: 0.00 eV per formula unit
- Size of the total moment: 0.00 μB/f.u.